LiEr3Nb3N8 | PBE | relaxed

N(E_F), states/eV/cell: 7.3
Space group: R-3m, No. 166
Formation energy (no corrections), kcal/mol of atoms: -25.34

a = 6.332 Å, b = 6.332 Å, c = 6.475 Å
α = 119.27°, β = 90.00°, γ = 120.00°
Element x y z (fractional)
Li  0.000  0.000  0.500
Er  0.000  0.000  0.000
Er  0.000  0.500  0.000
Er  0.500  0.500  0.000
Nb  0.500  0.000  0.500
Nb  0.500  0.500  0.500
Nb  0.000  0.500  0.500
N  0.255  0.511  0.266
N  0.745  0.489  0.734
N  0.755  0.510  0.281
N  0.245  0.490  0.719
N  0.755  0.026  0.281
N  0.245  0.974  0.719
N  0.272  0.026  0.281
N  0.728  0.974  0.719